# SmYSc2Tl4

A relaxed SmYSc2Tl4 crystal (PBE, Alexandria via LeMat-Bulk).

Energy of formation: -0.305 eV per atom
N(E_F): 6.69 states/eV per cell

Cell lengths 5.2651, 5.2651, 9.1329 Å; angles 73.25, 73.25, 60.00 degrees
Last column: nearest neighbours and their distance in Å.
Sites, in units of the cell vectors:
1 Tl 0.1259 0.1259 0.6224  4 Sc 3.20-3.23, 3 Y 3.22, 1 Sm 3.25
2 Tl 0.8741 0.8741 0.3776  4 Sc 3.20-3.23, 3 Y 3.22, 1 Sm 3.25
3 Tl 0.6241 0.6241 0.1278  1 Y 3.21, 4 Sc 3.22-3.26, 3 Sm 3.23
4 Tl 0.3759 0.3759 0.8722  1 Y 3.21, 4 Sc 3.22-3.26, 3 Sm 3.23
5 Sc 0.2499 0.2499 0.2504  8 Tl 3.20-3.26
6 Sc 0.7501 0.7501 0.7496  8 Tl 3.20-3.26
7 Sm 0.0000 0.0000 0.0000  8 Tl 3.23-3.25
8 Y 0.5000 0.5000 0.5000  8 Tl 3.21-3.22



# YInPt5

A relaxed YInPt5 crystal (PBE, Alexandria via LeMat-Bulk).

Energy of formation: -0.659 eV per atom
N(E_F): 13.81 states/eV per cell

Cell lengths 5.3043, 8.8247, 11.1286 Å; angles 90.00, 90.00, 90.00 degrees
Last column: nearest neighbours and their distance in Å.
Sites, in units of the cell vectors:
1 Pt 0.7500 0.9167 0.5098  5 Pt 2.70-2.85, 1 In 2.88
2 Pt 0.2500 0.9716 0.0814  1 In 2.65, 3 Pt 2.77-2.83, 1 Y 2.97
3 Pt 0.7500 0.4167 0.9902  5 Pt 2.70-2.85, 1 In 2.88
4 Pt 0.0057 0.5631 0.7967  7 Pt 2.59-2.85, 1 In 2.88
5 Pt 0.0057 0.0631 0.7033  7 Pt 2.59-2.85, 1 In 2.88
6 Pt 0.2500 0.1941 0.2641  6 Pt 2.62-2.83
7 Pt 0.4943 0.0631 0.7033  7 Pt 2.59-2.85, 1 In 2.88
8 Pt 0.9943 0.4369 0.2033  7 Pt 2.59-2.85, 1 In 2.88
9 Pt 0.5057 0.9369 0.2967  7 Pt 2.59-2.85, 1 In 2.88
10 Pt 0.7500 0.0284 0.9186  1 In 2.65, 3 Pt 2.77-2.83, 1 Y 2.97
11 Pt 0.9943 0.9369 0.2967  7 Pt 2.59-2.85, 1 In 2.88
12 Pt 0.4943 0.5631 0.7967  7 Pt 2.59-2.85, 1 In 2.88
13 Pt 0.5057 0.4369 0.2033  7 Pt 2.59-2.85, 1 In 2.88
14 Pt 0.7500 0.3059 0.7641  6 Pt 2.62-2.83
15 Pt 0.2500 0.0833 0.4902  5 Pt 2.70-2.85, 1 In 2.88
16 Pt 0.2500 0.4716 0.4186  1 In 2.65, 3 Pt 2.77-2.83, 1 Y 2.97
17 Pt 0.7500 0.8059 0.7359  6 Pt 2.62-2.83
18 Pt 0.2500 0.5833 0.0098  5 Pt 2.70-2.85, 1 In 2.88
19 Pt 0.7500 0.5284 0.5814  1 In 2.65, 3 Pt 2.77-2.83, 1 Y 2.97
20 Pt 0.2500 0.6941 0.2359  6 Pt 2.62-2.83
21 In 0.2500 0.8516 0.8628  6 Pt 2.65-2.95
22 In 0.7500 0.6484 0.3628  6 Pt 2.65-2.95
23 In 0.7500 0.1484 0.1372  6 Pt 2.65-2.95
24 In 0.2500 0.3516 0.6372  6 Pt 2.65-2.95
25 Y 0.2500 0.2500 0.9319  10 Pt 2.97-3.30
26 Y 0.2500 0.7500 0.5681  10 Pt 2.97-3.30
27 Y 0.7500 0.2500 0.4319  10 Pt 2.97-3.30
28 Y 0.7500 0.7500 0.0681  10 Pt 2.97-3.30



# AlMo2Rh

A relaxed AlMo2Rh crystal (PBE, Alexandria via LeMat-Bulk).

Energy of formation: -0.157 eV per atom
N(E_F): 2.47 states/eV per cell

Cell lengths 4.7222, 4.7222, 4.9526 Å; angles 83.59, 83.59, 33.70 degrees
Last column: nearest neighbours and their distance in Å.
Sites, in units of the cell vectors:
1 Mo 0.9979 0.9979 0.9952  3 Mo 2.55-2.74, 1 Al 2.72, 2 Rh 2.74
2 Mo 0.7608 0.7608 0.7625  3 Mo 2.55-2.74, 2 Rh 2.79, 4 Al 2.83-2.84
3 Rh 0.4984 0.4984 0.4748  3 Al 2.64-2.70, 2 Rh 2.74, 7 Mo 2.74-2.92
4 Al 0.2429 0.2429 0.2674  3 Rh 2.64-2.70, 7 Mo 2.72-2.88, 2 Al 2.74



# HfAl8Ga2

A relaxed HfAl8Ga2 crystal (PBE, Alexandria via LeMat-Bulk).

Energy of formation: -0.103 eV per atom
N(E_F): 4.73 states/eV per cell

Cell lengths 3.9527, 8.2295, 7.5913 Å; angles 122.82, 105.09, 90.00 degrees
Last column: nearest neighbours and their distance in Å.
Sites, in units of the cell vectors:
1 Al 0.3338 0.0836 0.6676  7 Al 2.79-2.86, 2 Ga 2.87, 1 Hf 2.88
2 Al 0.3338 0.5840 0.6676  7 Al 2.79-2.86, 2 Ga 2.87, 1 Hf 2.88
3 Al 0.8219 0.8219 0.6439  8 Al 2.79-2.97, 2 Hf 2.93, 2 Ga 2.98
4 Al 0.1781 0.1781 0.3561  8 Al 2.79-2.97, 2 Hf 2.93, 2 Ga 2.98
5 Al 0.6662 0.4160 0.3324  7 Al 2.79-2.86, 2 Ga 2.87, 1 Hf 2.88
6 Al 0.6662 0.9164 0.3324  7 Al 2.79-2.86, 2 Ga 2.87, 1 Hf 2.88
7 Al 0.0000 0.7515 0.0000  2 Ga 2.66, 6 Al 2.82-2.97, 2 Hf 2.84
8 Al 0.0000 0.2485 0.0000  2 Ga 2.66, 6 Al 2.82-2.97, 2 Hf 2.84
9 Hf 0.5000 0.0000 0.0000  12 Al 2.84-2.93
10 Ga 0.1380 0.6380 0.2760  8 Al 2.66-2.98
11 Ga 0.8620 0.3620 0.7240  8 Al 2.66-2.98



# TbThCd2

A relaxed TbThCd2 crystal (PBE, Alexandria via LeMat-Bulk).

Energy of formation: -0.058 eV per atom
N(E_F): 4.15 states/eV per cell

Cell lengths 3.5002, 3.5002, 10.8132 Å; angles 80.69, 80.69, 60.00 degrees
Last column: nearest neighbours and their distance in Å.
Sites, in units of the cell vectors:
1 Cd 0.7469 0.7469 0.7592  3 Tb 3.26, 3 Th 3.42, 6 Cd 3.50
2 Cd 0.2531 0.2531 0.2408  3 Tb 3.26, 3 Th 3.42, 6 Cd 3.50
3 Tb 0.0000 0.0000 0.0000  6 Cd 3.26, 6 Tb 3.50
4 Th 0.5000 0.5000 0.5000  6 Cd 3.42, 6 Th 3.50



# Na2TlIO

A relaxed Na2TlIO crystal (PBE, Alexandria via LeMat-Bulk).

Polymorph energy (0 for the lowest one): 6.981 eV/f.u.
Formation energy without anion corrections: 0.451 eV per atom
N(E_F): 30.52 states/eV per cell

Cell lengths 6.2657, 6.0152, 6.2657 Å; angles 90.00, 90.00, 90.00 degrees
Last column: nearest neighbours and their distance in Å.
Sites, in units of the cell vectors:
1 Na 0.5000 0.0000 0.0000  2 Tl 3.13
2 Na 0.0000 0.0000 0.5000  2 Tl 3.13
3 O 0.5000 0.5000 0.5000  8 Na 4.34, 4 I 4.43
4 Tl 0.0000 0.0000 0.0000  2 I 3.01, 4 Na 3.13
5 I 0.0000 0.5000 0.0000  2 Tl 3.01



# PuTi2Cr

A relaxed PuTi2Cr crystal (PBE, Alexandria via LeMat-Bulk).

Polymorph energy (0 for the lowest one): 0.000 eV/f.u.
Energy of formation: 0.106 eV per atom
N(E_F): 7.93 states/eV per cell

Cell lengths 3.0482, 3.0482, 7.4820 Å; angles 90.00, 90.00, 90.00 degrees
Last column: nearest neighbours and their distance in Å.
Sites, in units of the cell vectors:
1 Cr 0.5000 0.5000 0.0000  8 Ti 2.60
2 Ti 0.0000 0.0000 0.1944  4 Cr 2.60, 1 Ti 2.91
3 Ti 0.0000 0.0000 0.8056  4 Cr 2.60, 1 Ti 2.91
4 Pu 0.5000 0.5000 0.5000  4 Pu 3.05, 8 Ti 3.14



# Zr2BP

A relaxed Zr2BP crystal (PBE, Alexandria via LeMat-Bulk).

Polymorph energy (0 for the lowest one): 0.000 eV/f.u.
Energy of formation: -0.989 eV per atom
N(E_F): 1.08 states/eV per cell

Cell lengths 3.5865, 3.5865, 6.3032 Å; angles 73.47, 73.47, 60.00 degrees
Last column: nearest neighbours and their distance in Å.
Sites, in units of the cell vectors:
1 P 0.0000 0.0000 0.0000  6 Zr 2.63
2 Zr 0.7572 0.7572 0.7283  3 B 2.48, 3 P 2.63
3 Zr 0.2428 0.2428 0.2717  3 B 2.48, 3 P 2.63
4 B 0.5000 0.5000 0.5000  6 Zr 2.48



# Mn2Fe2Tc

A relaxed Mn2Fe2Tc crystal (PBE, Alexandria via LeMat-Bulk).

Polymorph energy (0 for the lowest one): 1.429 eV/f.u.
Energy of formation: 0.425 eV per atom
N(E_F): 4.79 states/eV per cell

Cell lengths 5.7462, 5.7462, 5.7462 Å; angles 145.14, 145.14, 50.13 degrees
Last column: nearest neighbours and their distance in Å.
Sites, in units of the cell vectors:
1 Mn 0.3998 0.3998 0.0000  1 Mn 2.09, 4 Fe 2.32
2 Mn 0.6002 0.6002 0.0000  1 Mn 2.09, 4 Fe 2.32
3 Tc 0.0000 0.0000 0.0000  8 Mn 2.65
4 Fe 0.2500 0.7500 0.5000  4 Mn 2.32, 4 Fe 2.43
5 Fe 0.7500 0.2500 0.5000  4 Mn 2.32, 4 Fe 2.43



# SrAl2As

A relaxed SrAl2As crystal (PBE, Alexandria via LeMat-Bulk).

Energy of formation: -0.300 eV per atom
N(E_F): 2.32 states/eV per cell

Cell lengths 3.6775, 3.6775, 6.7732 Å; angles 90.00, 90.00, 90.00 degrees
Last column: nearest neighbours and their distance in Å.
Sites, in units of the cell vectors:
1 Sr 0.5000 0.5000 0.7441  6 Al 3.31-3.47, 4 As 3.34, 4 Sr 3.68
2 As 0.0000 0.0000 0.4350  1 Al 2.51
3 Al 0.0000 0.0000 0.0651  1 As 2.51
4 Al 0.5000 0.5000 0.2558  4 As 2.87, 4 Al 2.90



# VFe7

A relaxed VFe7 crystal (PBE, Alexandria via LeMat-Bulk).

Energy of formation: 0.045 eV per atom
N(E_F): 6.88 states/eV per cell

Cell lengths 3.4423, 3.4423, 8.3115 Å; angles 101.95, 101.95, 90.00 degrees
Last column: nearest neighbours and their distance in Å.
Sites, in units of the cell vectors:
1 Fe 0.5000 0.5000 0.0000  4 V 2.43, 8 Fe 2.64
2 Fe 0.2508 0.2508 0.5016  12 Fe 2.43-2.63
3 Fe 0.7492 0.7492 0.4984  12 Fe 2.43-2.63
4 Fe 0.3742 0.8742 0.7485  10 Fe 2.43-2.64, 2 V 2.64
5 Fe 0.6258 0.1258 0.2515  10 Fe 2.43-2.64, 2 V 2.64
6 Fe 0.8742 0.3742 0.7485  10 Fe 2.43-2.64, 2 V 2.64
7 Fe 0.1258 0.6258 0.2515  10 Fe 2.43-2.64, 2 V 2.64
8 V 0.0000 0.0000 0.0000  12 Fe 2.43-2.64



# Te2IrAu

A relaxed Te2IrAu crystal (PBE, Alexandria via LeMat-Bulk).

Polymorph energy (0 for the lowest one): 0.618 eV/f.u.
Formation energy without anion corrections: -0.001 eV per atom
N(E_F): 3.09 states/eV per cell

Cell lengths 3.9089, 3.9089, 7.2981 Å; angles 74.77, 74.77, 60.32 degrees
Last column: nearest neighbours and their distance in Å.
Sites, in units of the cell vectors:
1 Te 0.5154 0.5154 0.4619  3 Ir 2.70, 1 Au 2.99
2 Te 0.9846 0.9846 0.0381  3 Ir 2.70, 1 Au 2.99
3 Ir 0.2500 0.2500 0.2500  6 Te 2.70
4 Au 0.7500 0.7500 0.7500  6 Te 2.99-3.03